Density functional theory data (PBE-GGA) for an optimized crystal structure of SrPrI.

Cell: 4.0921 4.0921 16.1249 Å, 90.00 90.00 120.00°
Closest atoms and distances in Å follow each position.
Element x y z (fractional)
I 0.1109 0.2219 0.1427  3 Pr 3.30, 3 Sr 3.58
I 0.1109 0.2219 0.8573  3 Pr 3.30, 3 Sr 3.58
Pr 0.4446 0.8893 0.5000  6 Sr 3.87, 6 Pr 4.09
Pr 0.4443 0.8885 0.0000  6 I 3.30
Sr 0.7779 0.5558 0.3098  3 I 3.58, 3 Pr 3.87
Sr 0.7779 0.5558 0.6902  3 I 3.58, 3 Pr 3.87

- Space group: P-6m2 (187)
- V: 234 Å³/cell
- ΔE_f (raw): -644 meV/atom
- Final energy: -3.3149 eV/atom